DFT (PBE) results for a relaxed MgTaP4 crystal.

N(E_F)   3.8 states/eV/f.u.
Calculated formation energy   459 meV/atom
SG   F-43m (216)

abc: 5.0583 5.0583 5.0583
angles: 60.00 60.00 60.00
Fractional coordinates of all 6 atoms:
Mg  0.0000  0.0000  0.0000
Ta  0.2500  0.2500  0.2500
P  0.1321  0.6226  0.6226
P  0.6226  0.1321  0.6226
P  0.6226  0.6226  0.1321
P  0.6226  0.6226  0.6226